Material: TlZnTe2
Method: DFT, SCAN
State: PBEsol geometry

Values from the calculation:
Uncorrected formation energy   -0.162 eV/atom
Space group   No. 6
Magnetization   0.00 μB/f.u.
Calculated total energy   -1.479 hartree per atom

```
data_TlZnTe2
_cell_length_a 4.387
_cell_length_b 4.330
_cell_length_c 7.372
_cell_angle_alpha 90.00
_cell_angle_beta 103.57
_cell_angle_gamma 90.00
_symmetry_space_group_name_H-M 'P 1'
_symmetry_Int_Tables_number 1
loop_
_symmetry_equiv_pos_as_xyz
'x,y,z'
loop_
_atom_site_label
_atom_site_fract_x
_atom_site_fract_y
_atom_site_fract_z
_atom_site_occupancy
Tl1 0.000 0.000 0.000 1
Zn1 0.687 0.500 0.399 1
Te1 0.517 0.500 0.041 1
Te2 0.773 0.000 0.580 1
```